1.
Compound: CaZr2Zn
Source: Alexandria
Functional: PBE
Structure: optimized geometry

a = 11.545 Å, b = 11.545 Å, c = 11.545 Å
α = 159.14°, β = 159.14°, γ = 29.67°
Sites, in units of the cell vectors:
Ca: 0.000 0.000 0.000
Ca: 0.750 0.250 0.500
Zr: 0.146 0.625 0.021
Zr: 0.375 0.396 0.521
Zr: 0.604 0.125 0.979
Zr: 0.875 0.854 0.479
Zn: 0.250 0.750 0.500
Zn: 0.500 0.500 0.000

Results
Formation energy from the elements in eV per formula unit: 1.6
Density of states at the Fermi level in states/eV/f.u.: 4.9
Space-group type: I-42d, No. 122

---

2.
Compound: CaZr4Zn
Source: Alexandria
Functional: PBE
Structure: optimized geometry

a = 5.936 Å, b = 5.936 Å, c = 5.936 Å
α = 60.00°, β = 60.00°, γ = 60.00°
Sites, in units of the cell vectors:
Ca: 0.000 0.000 0.000
Zr: 0.374 0.374 0.374
Zr: 0.374 0.374 0.877
Zr: 0.374 0.877 0.374
Zr: 0.877 0.374 0.374
Zn: 0.750 0.750 0.750

Results
Formation energy from the elements in eV per formula unit: 2.3
Density of states at the Fermi level in states/eV/f.u.: 7.2
Space-group type: F-43m, No. 216

---

3.
Compound: CaZr2Zn
Source: Alexandria
Functional: PBE
Structure: optimized geometry

a = 3.267 Å, b = 5.107 Å, c = 5.621 Å
α = 90.00°, β = 90.00°, γ = 90.00°
Sites, in units of the cell vectors:
Ca: 0.000 0.000 0.000
Zr: 0.000 0.500 0.500
Zr: 0.500 0.000 0.500
Zn: 0.500 0.500 0.000

Results
Formation energy from the elements in eV per formula unit: 0.7
Density of states at the Fermi level in states/eV/f.u.: 3.7
Space-group type: Pmmm, No. 47

---

4.
Compound: CaZrZn3
Source: Alexandria
Functional: PBE
Structure: optimized geometry

a = 5.195 Å, b = 5.195 Å, c = 5.195 Å
α = 90.00°, β = 90.00°, γ = 90.00°
Sites, in units of the cell vectors:
Ca: 0.000 0.000 0.000
Zr: 0.500 0.500 0.500
Zn: 0.000 0.500 0.500
Zn: 0.500 0.000 0.500
Zn: 0.500 0.500 0.000

Results
Formation energy from the elements in eV per formula unit: 2.3
Density of states at the Fermi level in states/eV/f.u.: 5.9
ΔE to the lowest computed polymorph in meV/atom: 0
Space-group type: Pm-3m, No. 221

---

5.
Compound: CaZr2Zn2
Source: Alexandria
Functional: PBE
Structure: optimized geometry

a = 8.257 Å, b = 8.257 Å, c = 3.222 Å
α = 90.00°, β = 90.00°, γ = 90.00°
Sites, in units of the cell vectors:
Ca: 0.000 0.000 0.000
Ca: 0.500 0.500 0.000
Zr: 0.145 0.355 0.500
Zr: 0.355 0.855 0.500
Zr: 0.645 0.145 0.500
Zr: 0.855 0.645 0.500
Zn: 0.153 0.653 0.000
Zn: 0.347 0.153 0.000
Zn: 0.653 0.847 0.000
Zn: 0.847 0.347 0.000

Results
Formation energy from the elements in eV per formula unit: -0.2
Density of states at the Fermi level in states/eV/f.u.: 8.7
ΔE to the lowest computed polymorph in meV/atom: 0
Space-group type: P4/mbm, No. 127

---

6.
Compound: CaZrZn
Source: Alexandria
Functional: PBE
Structure: optimized geometry

a = 3.416 Å, b = 3.416 Å, c = 7.410 Å
α = 90.00°, β = 90.00°, γ = 120.00°
Sites, in units of the cell vectors:
Ca: 0.000 0.000 0.000
Zr: 0.333 0.667 0.605
Zn: 0.667 0.333 0.324

Results
Formation energy from the elements in eV per formula unit: 0.5
Density of states at the Fermi level in states/eV/f.u.: 3.1
ΔE to the lowest computed polymorph in meV/atom: 264
Space-group type: P3m1, No. 156

---

7.
Compound: CaZr4Zn5
Source: Alexandria
Functional: PBE
Structure: optimized geometry

a = 3.407 Å, b = 3.407 Å, c = 16.911 Å
α = 90.00°, β = 90.00°, γ = 90.00°
Sites, in units of the cell vectors:
Ca: 0.000 0.000 0.000
Zr: 0.000 0.000 0.209
Zr: 0.000 0.000 0.403
Zr: 0.000 0.000 0.597
Zr: 0.000 0.000 0.791
Zn: 0.500 0.500 0.120
Zn: 0.500 0.500 0.308
Zn: 0.500 0.500 0.500
Zn: 0.500 0.500 0.692
Zn: 0.500 0.500 0.880

Results
Formation energy from the elements in eV per formula unit: -2.5
Density of states at the Fermi level in states/eV/f.u.: 3.8
Space-group type: P4/mmm, No. 123

---

8.
Compound: CaZr2Zn
Source: Alexandria
Functional: PBE
Structure: optimized geometry

a = 5.519 Å, b = 5.519 Å, c = 5.519 Å
α = 132.01°, β = 132.01°, γ = 70.21°
Sites, in units of the cell vectors:
Ca: 0.000 0.000 0.000
Zr: 0.500 0.500 0.000
Zr: 0.750 0.250 0.500
Zn: 0.250 0.750 0.500

Results
Formation energy from the elements in eV per formula unit: 0.9
Density of states at the Fermi level in states/eV/f.u.: 6.3
Space-group type: I-4m2, No. 119

---

- Look up the formation energy from the elements of the first one.
  1.6 eV per formula unit

---

- Number 5 is which compound?
  CaZr2Zn2

---

- density of states at the Fermi level of number 4 (CaZrZn3)?
  5.9 states/eV/f.u.